! UNbH4 (PBE, optimized geometry); values from VASP
&SYSTEM
  ibrav = 0, nat = 12, ntyp = 3
/
ATOMIC_SPECIES
U 238.03 U.upf
Nb 92.91 Nb.upf
H 1.01 H.upf
CELL_PARAMETERS angstrom
-2.558 2.573 4.265
2.558 -2.573 4.265
2.558 2.573 -4.265
ATOMIC_POSITIONS angstrom
U 0.000 1.286 0.944
U 2.558 1.286 3.321
Nb 2.558 1.286 -1.184
Nb 0.000 1.286 5.448
H 1.554 0.000 0.000
H 3.563 0.000 0.000
H 1.279 2.465 -2.132
H 1.279 -0.108 2.132
H 1.554 2.573 0.000
H 1.005 0.000 4.265
H -1.279 2.681 2.132
H 1.279 2.681 2.132
! Total DFT energy (no corrections) ... -5.964 eV/atom